[1]
HW2F: optimized geometry, PBEsol.

- D(E_F): 3.0 states/eV per cell
- Uncorrected energy: -28.787 eV/f.u.

The structure in POSCAR format:
```
HW2F
1.0
-3.4770 0.2030 1.9095
-3.3999 -0.0642 -2.0528
-2.3621 -3.1889 0.1691
W F H
2 1 1
Direct
0.7500 0.7500 0.7500
0.2500 0.2500 0.2500
0.5000 0.5000 0.5000
0.0000 0.0000 0.0000
```


[2]
Mg3Ru2: optimized geometry, PBEsol.

- D(E_F): 6.3 states/eV per cell
- Energy of formation from the pure elements: 0.30 eV per atom
- Uncorrected energy: -23.997 eV/f.u.
- Polymorph energy (0 for the lowest one): 185 kJ/mol of formula units

The structure in POSCAR format:
```
Mg3Ru2
1.0
4.4705 0.0000 0.0000
-2.2353 3.8716 0.0000
0.0000 0.0000 5.2814
Mg Ru
3 2
Direct
0.6667 0.3333 0.1097
0.0000 0.0000 0.5000
0.3333 0.6667 0.8903
0.3333 0.6667 0.4159
0.6667 0.3333 0.5841
```


[3]
YTlMo2: optimized geometry, PBEsol.

- D(E_F): 3.3 states/eV per cell
- Energy of formation from the pure elements: 0.67 eV per atom
- Uncorrected energy: -30.302 eV/f.u.
- Polymorph energy (0 for the lowest one): 131 kJ/mol of formula units

The structure in POSCAR format:
```
YTlMo2
1.0
2.8860 0.0000 0.0000
0.0000 5.3765 0.0141
0.0000 -2.1279 4.9376
Tl Mo Y
1 2 1
Direct
0.5000 0.0000 0.0000
0.0000 0.0000 0.5000
0.0000 0.5000 0.0000
0.5000 0.5000 0.5000
```


[4]
AlZnCu2: optimized geometry, PBEsol.

- D(E_F): 1.3 states/eV per cell
- Energy of formation from the pure elements: -0.11 eV per atom
- Uncorrected energy: -14.764 eV/f.u.

The structure in POSCAR format:
```
AlZnCu2
1.0
-1.3907 -2.2793 0.7040
2.9843 -1.9258 -0.3401
1.1177 0.8539 4.9723
Al Cu Zn
1 2 1
Direct
0.5000 0.5000 0.7670
0.5000 0.5000 0.2529
0.0000 0.0000 0.9977
0.0000 0.0000 0.4823
```


[5]
Hf3TlPd: optimized geometry, PBEsol.

- D(E_F): 4.5 states/eV per cell
- Energy of formation from the pure elements: 0.38 eV per atom
- Uncorrected energy: -38.219 eV/f.u.
- Polymorph energy (0 for the lowest one): 0 kJ/mol of formula units

The structure in POSCAR format:
```
Hf3TlPd
1.0
-3.2321 -0.6999 -3.6905
0.6590 -4.8987 0.3519
-3.6980 -0.2613 3.2882
Tl Hf Pd
1 3 1
Direct
0.5000 0.5000 0.5000
0.0000 0.0000 0.5000
0.0000 0.5000 0.0000
0.5000 0.0000 0.0000
0.0000 0.0000 0.0000
```


[6]
TaZn2In: optimized geometry, PBEsol.

- D(E_F): 3.9 states/eV per cell
- Energy of formation from the pure elements: 0.51 eV per atom
- Uncorrected energy: -16.661 eV/f.u.

The structure in POSCAR format:
```
TaZn2In
1.0
-4.5736 0.4747 0.0370
-2.3631 -0.1893 -3.9401
-2.6943 -3.6176 -0.8935
Zn Ta In
2 1 1
Direct
0.7500 0.7500 0.7500
0.0000 0.0000 0.0000
0.2500 0.2500 0.2500
0.5000 0.5000 0.5000
```


[7]
TiIrO2: optimized geometry, PBEsol.

- D(E_F): 3.0 states/eV per cell
- Energy relative to the elements, uncorrected: -40.82 kcal/mol of atoms
- Uncorrected energy: -35.725 eV/f.u.
- Polymorph energy (0 for the lowest one): 0 kJ/mol of formula units

The structure in POSCAR format:
```
TiIrO2
1.0
2.8341 0.0000 0.0000
1.4171 2.4544 0.0000
1.4171 0.8181 6.3093
Ti Ir O
1 1 2
Direct
0.5000 0.5000 0.5000
0.0000 0.0000 0.0000
0.1064 0.1064 0.6807
0.8936 0.8936 0.3193
```


[8]
AlTeOs2: optimized geometry, PBEsol.

- D(E_F): 1.8 states/eV per cell
- Energy relative to the elements, uncorrected: 5.62 kcal/mol of atoms
- Uncorrected energy: -31.075 eV/f.u.
- Polymorph energy (0 for the lowest one): 0 kJ/mol of formula units

The structure in POSCAR format:
```
AlTeOs2
1.0
-0.8645 -2.9105 0.7539
0.4322 -0.8966 -2.9659
6.0021 -1.4432 1.3109
Os Al Te
2 1 1
Direct
0.0000 0.0000 0.7286
0.0000 0.0000 0.2714
0.5000 0.5000 0.5000
0.5000 0.5000 0.0000
```


[9]
LiHg2Cl: optimized geometry, PBEsol.

- Energy relative to the elements, uncorrected: -17.13 kcal/mol of atoms
- Uncorrected energy: -8.080 eV/f.u.
- Polymorph energy (0 for the lowest one): 7 kJ/mol of formula units

The structure in POSCAR format:
```
LiHg2Cl
1.0
3.6481 0.0000 0.0000
1.8241 3.1679 0.0169
1.8241 1.1031 8.4187
Hg Li Cl
2 1 1
Direct
0.0031 0.9864 0.0074
0.7609 0.7566 0.7216
0.5190 0.5281 0.4338
0.2170 0.2289 0.3371
```


[10]
RbGaTe2: optimized geometry, PBEsol.

- D(E_F): 2.0 states/eV per cell
- Energy relative to the elements, uncorrected: -5.16 kcal/mol of atoms
- Uncorrected energy: -12.313 eV/f.u.

The structure in POSCAR format:
```
RbGaTe2
1.0
-0.7150 3.2449 2.3857
-3.2391 0.0280 2.4979
4.1714 -2.9663 8.7916
Ga Rb Te
1 1 2
Direct
0.5000 0.5000 0.5000
0.0000 0.0000 0.0000
0.1141 0.1141 0.6578
0.8859 0.8859 0.3422
```


[11]
Pd2SeS: optimized geometry, PBEsol.

- D(E_F): 6.1 states/eV per cell
- Energy relative to the elements, uncorrected: -3.18 kcal/mol of atoms
- Uncorrected energy: -20.704 eV/f.u.

The structure in POSCAR format:
```
Pd2SeS
1.0
-2.8105 -1.2387 -3.5086
-2.2445 -2.9426 2.8367
-1.8721 7.1290 2.0814
S Pd Se
2 4 2
Direct
0.7500 0.2500 0.5000
0.5000 0.5000 0.0000
0.8105 0.3750 0.2500
0.4395 0.8750 0.2500
0.1250 0.1895 0.7500
0.6250 0.5605 0.7500
0.2500 0.7500 0.5000
0.0000 0.0000 0.0000
```


[12]
ZnTeSN2: optimized geometry, PBEsol.

- D(E_F): 3.0 states/eV per cell
- Energy relative to the elements, uncorrected: 30.29 kcal/mol of atoms
- Uncorrected energy: -19.978 eV/f.u.
- Polymorph energy (0 for the lowest one): 0 kJ/mol of formula units

The structure in POSCAR format:
```
ZnTeSN2
1.0
3.5727 0.0000 0.0000
0.0000 3.5727 0.0000
0.0000 0.0000 6.6737
N Zn S Te
2 1 1 1
Direct
0.0000 0.5000 0.0000
0.5000 0.0000 0.0000
0.5000 0.5000 0.5000
0.0000 0.0000 0.0000
0.0000 0.0000 0.5000
```


What did the fifth record say?
Hf3TlPd: optimized geometry, PBEsol.

- D(E_F): 4.5 states/eV per cell
- Energy of formation from the pure elements: 0.38 eV per atom
- Uncorrected energy: -38.219 eV/f.u.
- Polymorph energy (0 for the lowest one): 0 kJ/mol of formula units

The structure in POSCAR format:
```
Hf3TlPd
1.0
-3.2321 -0.6999 -3.6905
0.6590 -4.8987 0.3519
-3.6980 -0.2613 3.2882
Tl Hf Pd
1 3 1
Direct
0.5000 0.5000 0.5000
0.0000 0.0000 0.5000
0.0000 0.5000 0.0000
0.5000 0.0000 0.0000
0.0000 0.0000 0.0000
```


Please write out number 4 again, unchanged.
AlZnCu2: optimized geometry, PBEsol.

- D(E_F): 1.3 states/eV per cell
- Energy of formation from the pure elements: -0.11 eV per atom
- Uncorrected energy: -14.764 eV/f.u.

The structure in POSCAR format:
```
AlZnCu2
1.0
-1.3907 -2.2793 0.7040
2.9843 -1.9258 -0.3401
1.1177 0.8539 4.9723
Al Cu Zn
1 2 1
Direct
0.5000 0.5000 0.7670
0.5000 0.5000 0.2529
0.0000 0.0000 0.9977
0.0000 0.0000 0.4823
```


Among the records above, which one has the highest uncorrected energy? LiHg2Cl